VASP calculation (PBE-GGA) on crystalline LiTe2AuN at its relaxed geometry.

The calculation puts the uncorrected energy at -15.65 eV for the cell shown. Its excess energy over the best structure of this formula in the dataset is 215 meV/atom. The calculation puts the uncorrected formation energy at 80 kJ/mol of atoms. The value obtained for the volume is 94.7 Å³ per cell.

The space group is P4/mmm (No. 123) and the conventional cell measures 5.2232, 5.2232 and 3.4714 Å, with angles of 90.00, 90.00 and 90.00 degrees. The inequivalent atoms are Li at (0.0000, 0.0000, 0.0000), Te at (0.0000, 0.5000, 0.0000), Au at (0.5000, 0.5000, 0.5000) and N at (0.0000, 0.0000, 0.5000).

VASP calculation (PBE-GGA) on crystalline BeNiRh2 at its relaxed geometry.

The calculation puts the uncorrected energy at -48.40 eV for the cell shown. The formation energy is 0.01 eV per formula unit. The value obtained for the volume is 99.5 Å³ per cell.

The space group is C2/m (No. 12) and the conventional cell measures 5.1874, 8.1218 and 2.6312 Å, with angles of 90.00, 116.12 and 90.00 degrees. The inequivalent atoms are Be at (0.0000, 0.0000, 0.0000), Ni at (0.0000, 0.5000, 0.0000) and Rh at (0.2500, 0.2500, 0.5000).

VASP calculation (PBE-GGA) on crystalline BaNaSbI2 at its relaxed geometry.

The calculation puts the uncorrected energy at -13.77 eV for the cell shown. Its excess energy over the best structure of this formula in the dataset is 0 meV/atom. The calculation puts the uncorrected formation energy at -64 kJ/mol of atoms. The value obtained for the volume is 205.4 Å³ per cell.

The space group is P4/mmm (No. 123) and the conventional cell measures 5.8419, 5.8419 and 6.0183 Å, with angles of 90.00, 90.00 and 90.00 degrees. The inequivalent atoms are Ba at (0.0000, 0.0000, 0.0000), Na at (0.5000, 0.5000, 0.5000), Sb at (0.5000, 0.5000, 0.0000) and I at (0.0000, 0.5000, 0.5000).

VASP calculation (PBE-GGA) on crystalline CoHgSe at its relaxed geometry.

The calculation puts the uncorrected energy at -40.02 eV for the cell shown. Its excess energy over the best structure of this formula in the dataset is 467 meV/atom. The calculation puts the uncorrected formation energy at 29 kJ/mol of atoms. The value obtained for the volume is 235.5 Å³ per cell.

The space group is F-43m (No. 216) and the conventional cell measures 6.1750, 6.1750 and 6.1750 Å, with angles of 90.00, 90.00 and 90.00 degrees. The inequivalent atoms are Co at (0.0000, 0.0000, 0.0000), Hg at (0.2500, 0.2500, 0.7500) and Se at (0.2500, 0.2500, 0.2500).

VASP calculation (PBE-GGA) on crystalline Cd2Au2I at its relaxed geometry.

The calculation puts the uncorrected energy at -20.57 eV for the cell shown. Its excess energy over the best structure of this formula in the dataset is 0 meV/atom. The calculation puts the uncorrected formation energy at -7 kJ/mol of atoms. The value obtained for the volume is 255.0 Å³ per cell.

The space group is I4/mmm (No. 139) and the conventional cell measures 3.9334, 3.9334 and 16.4842 Å, with angles of 90.00, 90.00 and 90.00 degrees. The inequivalent atoms are Cd at (0.0000, 0.0000, 0.1177), Au at (0.0000, 0.5000, 0.2500) and I at (0.0000, 0.0000, 0.5000).

VASP calculation (PBE-GGA) on crystalline Gd2HoAg at its relaxed geometry.

The calculation puts the uncorrected energy at -36.07 eV for the cell shown. Its excess energy over the best structure of this formula in the dataset is 0 meV/atom. The formation energy is -0.47 eV per formula unit. The value obtained for the volume is 114.1 Å³ per cell.

The space group is P4/mmm (No. 123) and the conventional cell measures 3.6283, 3.6283 and 8.6679 Å, with angles of 90.00, 90.00 and 90.00 degrees. The inequivalent atoms are Gd at (0.0000, 0.0000, 0.2170), Ho at (0.5000, 0.5000, 0.5000) and Ag at (0.5000, 0.5000, 0.0000).

VASP calculation (PBE-GGA) on crystalline ZrCrSi2 at its relaxed geometry.

The calculation puts the uncorrected energy at -113.32 eV for the cell shown. Its excess energy over the best structure of this formula in the dataset is 800 meV/atom. The calculation puts the uncorrected formation energy at 17 kJ/mol of atoms. The value obtained for the volume is 274.0 Å³ per cell.

The space group is I-42d (No. 122) and the conventional cell measures 3.9164, 3.9164 and 17.8666 Å, with angles of 90.00, 90.00 and 90.00 degrees. The inequivalent atoms are Zr at (0.0000, 0.0000, 0.0000), Cr at (0.0000, 0.0000, 0.5000) and Si at (0.1848, 0.2500, 0.6250).

VASP calculation (PBE-GGA) on crystalline SrSmRh2 at its relaxed geometry.

The calculation puts the uncorrected energy at -65.32 eV for the cell shown. Its excess energy over the best structure of this formula in the dataset is 286 meV/atom. The formation energy is -0.67 eV per formula unit. The value obtained for the volume is 291.1 Å³ per cell.

The space group is R-3m (No. 166, hexagonal axes) and the conventional cell measures 3.7227, 3.7227 and 24.2565 Å, with angles of 90.00, 90.00 and 120.00 degrees. The inequivalent atoms are Sr at (0.0000, 0.0000, 0.0000), Sm at (0.0000, 0.0000, 0.5000) and Rh at (0.0000, 0.0000, 0.2436).

VASP calculation (PBE-GGA) on crystalline Li2PtSe2 at its relaxed geometry.

The calculation puts the uncorrected energy at -40.62 eV for the cell shown. The calculation puts the uncorrected formation energy at -67 kJ/mol of atoms. The value obtained for the volume is 182.2 Å³ per cell.

The space group is P4/mbm (No. 127) and the conventional cell measures 6.8045, 6.8045 and 3.9344 Å, with angles of 90.00, 90.00 and 90.00 degrees. The inequivalent atoms are Li at (0.1505, 0.3495, 0.0000), Pt at (0.0000, 0.0000, 0.5000) and Se at (0.1667, 0.6667, 0.5000).

VASP calculation (PBE-GGA) on crystalline Sc2MnW at its relaxed geometry.

The calculation puts the uncorrected energy at -68.89 eV for the cell shown. Its excess energy over the best structure of this formula in the dataset is 39 meV/atom. The formation energy is 0.34 eV per formula unit. The value obtained for the volume is 142.1 Å³ per cell.

The space group is Imm2 (No. 44) and the conventional cell measures 3.1933, 4.7238 and 9.4192 Å, with angles of 90.00, 90.00 and 90.00 degrees. The inequivalent atoms are Sc at (0.0000, 0.0000, 0.0000), Sc at (0.0000, 0.5000, 0.2182), Mn at (0.0000, 0.0000, 0.4709) and W at (0.0000, 0.5000, 0.7854).

VASP calculation (PBE-GGA) on crystalline HfThTi at its relaxed geometry.

The calculation puts the uncorrected energy at -49.72 eV for the cell shown. Its excess energy over the best structure of this formula in the dataset is 0 meV/atom. The formation energy is 0.41 eV per formula unit. The value obtained for the volume is 143.2 Å³ per cell.

The space group is P2_1/m (No. 11) and the conventional cell measures 4.0095, 4.8547 and 7.6219 Å, with angles of 90.00, 105.18 and 90.00 degrees. The inequivalent atoms are Hf at (0.2462, 0.2500, 0.4926), Th at (0.4183, 0.7500, 0.8376) and Ti at (0.1066, 0.7500, 0.2117).

VASP calculation (PBE-GGA) on crystalline TbDySnHg at its relaxed geometry.

The calculation puts the uncorrected energy at -15.78 eV for the cell shown. Its excess energy over the best structure of this formula in the dataset is 8 meV/atom. The formation energy is -2.24 eV per formula unit. The value obtained for the volume is 105.6 Å³ per cell.

The space group is P4mm (No. 99) and the conventional cell measures 3.7980, 3.7980 and 7.3236 Å, with angles of 90.00, 90.00 and 90.00 degrees. The inequivalent atoms are Tb at (0.0000, 0.0000, 0.0000), Dy at (0.0000, 0.0000, 0.5066), Sn at (0.5000, 0.5000, 0.2546) and Hg at (0.5000, 0.5000, 0.7510).